Material: TaCuRh
Method: DFT, PBE
State: relaxed

**Symmetry**: No. 40
**Energy**: -8.061 eV per atom
**Calculated formation energy**: -0.88 eV per formula unit
**Crystal system**: orthorhombic
**ΔE to the lowest computed polymorph**: 6 kJ/mol of formula units
**Total magnetization**: 0.0 μB/f.u.

a b c (Å): 4.654 4.723 4.723
angles (deg): 59.65 90.00 90.00
Positions (direct):
Ta 0.250 0.223 0.777
Ta 0.750 0.777 0.223
Cu 0.250 0.891 0.452
Cu 0.750 0.452 0.891
Rh 0.250 0.554 0.126
Rh 0.750 0.126 0.554

---

Material: Ba2ScCr
Method: DFT, PBE
State: relaxed

**Symmetry**: No. 71
**Energy**: -4.414 eV per atom
**Calculated formation energy**: 2.14 eV per formula unit
**Crystal system**: orthorhombic
**ΔE to the lowest computed polymorph**: 35 kJ/mol of formula units
**Total magnetization**: 3.6 μB/f.u.

a b c (Å): 10.092 10.092 10.092
angles (deg): 158.38 155.27 33.08
Positions (direct):
Ba 0.155 0.155 0.000
Ba 0.845 0.845 0.000
Sc 0.500 0.000 0.500
Cr 0.000 0.500 0.500

---

Material: CoGe3Pd
Method: DFT, PBE
State: relaxed

**Symmetry**: No. 221
**Energy**: -5.028 eV per atom
**Calculated formation energy**: 1.01 eV per formula unit
**Crystal system**: cubic
**ΔE to the lowest computed polymorph**: 0 kJ/mol of formula units
**Total magnetization**: 0.0 μB/f.u.

a b c (Å): 4.495 4.495 4.495
angles (deg): 90.00 90.00 90.00
Positions (direct):
Co 0.000 0.000 0.000
Ge 0.000 0.000 0.500
Ge 0.000 0.500 0.000
Ge 0.500 0.000 0.000
Pd 0.500 0.500 0.500

---

Material: NdDyCF
Method: DFT, PBE
State: relaxed

**Symmetry**: No. 160
**Energy**: -6.572 eV per atom
**Crystal system**: trigonal
**Total magnetization**: 0.0 μB/f.u.

a b c (Å): 6.773 6.773 6.773
angles (deg): 30.59 30.59 30.59
Positions (direct):
Nd 0.000 0.000 0.000
Dy 0.193 0.193 0.193
C 0.590 0.590 0.590
F 0.773 0.773 0.773

---

Material: PmY4
Method: DFT, PBE
State: relaxed

**Symmetry**: No. 65
**Energy**: -6.082 eV per atom
**Calculated formation energy**: 0.19 eV per formula unit
**Crystal system**: orthorhombic
**ΔE to the lowest computed polymorph**: 10 kJ/mol of formula units
**Total magnetization**: 0.0 μB/f.u.

a b c (Å): 8.861 8.861 3.545
angles (deg): 90.00 90.00 143.96
Positions (direct):
Pm 0.000 0.000 0.000
Y 0.200 0.800 0.000
Y 0.390 0.610 0.500
Y 0.610 0.390 0.500
Y 0.800 0.200 0.000

---

Material: MgBeFe2
Method: DFT, PBE
State: relaxed

**Symmetry**: No. 119
**Energy**: -5.356 eV per atom
**Calculated formation energy**: 0.82 eV per formula unit
**Crystal system**: tetragonal
**ΔE to the lowest computed polymorph**: 53 kJ/mol of formula units
**Total magnetization**: 4.2 μB/f.u.

a b c (Å): 4.399 4.399 4.399
angles (deg): 130.18 130.18 73.12
Positions (direct):
Mg 0.000 0.000 0.000
Be 0.250 0.750 0.500
Fe 0.500 0.500 0.000
Fe 0.750 0.250 0.500

---

Question: Look up the total magnetization of the first one.
Answer: 0.0 μB/f.u.

---

Question: Among the records above, which one has the highest total magnetization?
Answer: MgBeFe2

---

Question: Which of these has the highest total magnetization?
Answer: MgBeFe2